Record 1
LiSmPbS3: optimized geometry, PBE-GGA.

Lattice parameters (Å, degrees): 8.4183 4.0424 8.6268 90.00 101.03 90.00
Space group P2_1/m (No. 11)
Asymmetric unit:
Li  0.0833  0.2500  0.0838 x2
Sm  0.3358  0.7500  0.3260 x2
Pb  0.1792  0.2500  0.7263 x2
S  0.1162  0.2500  0.3682 x2
S  0.2050  0.7500  0.0071 x2
S  0.4281  0.7500  0.6634 x2

Results
* uncorrected energy: -5.11 eV/atom
* total magnetization: 0.000 μB per formula unit

Record 2
Sm4Pt3: optimized geometry, PBE-GGA.

Lattice parameters (Å, degrees): 12.3886 12.3886 7.8917 90.00 90.00 120.00
Space group R-3 (No. 148, hexagonal axes)
Asymmetric unit:
Sm  0.0000  0.0000  0.0000 x3
Sm  0.0000  0.0000  0.5000 x3
Sm  0.0300  0.5793  0.2975 x18
Pt  0.0403  0.8296  0.2583 x18

Results
* total magnetization: 0.000 μB per formula unit
* formation enthalpy at 0 K: -1021 meV/atom

Record 3
RePtSe2: optimized geometry, PBE-GGA.

Lattice parameters (Å, degrees): 3.1012 3.1012 24.5992 90.00 90.00 120.00
Space group R-3m (No. 166, hexagonal axes)
Asymmetric unit:
Re  0.0000  0.0000  0.0000 x3
Pt  0.0000  0.0000  0.5000 x3
Se  0.0000  0.0000  0.2585 x6

Results
* uncorrected energy: -6.13 eV/atom
* total magnetization: 0.000 μB per formula unit

Record 4
Ac8Pr2Sm: optimized geometry, PBE-GGA.

Lattice parameters (Å, degrees): 5.5719 8.7437 10.3014 75.15 74.36 89.99
Space group P-1 (No. 2)
Asymmetric unit:
Ac  0.0466  0.2296  0.4067 x2
Ac  0.1373  0.6867  0.2253 x2
Ac  0.3185  0.5864  0.8630 x2
Ac  0.4073  0.0480  0.6855 x2
Pr  0.2266  0.1339  0.0471 x2
Sm  0.5000  0.5000  0.5000 x1

Results
* total magnetization: 0.000 μB per formula unit
* formation enthalpy at 0 K: 29 meV/atom

Record 5
Mn3Zn2: optimized geometry, PBE-GGA.

Lattice parameters (Å, degrees): 8.8779 12.5197 4.6145 90.00 90.00 90.00
Space group Fdd2 (No. 43)
Asymmetric unit:
Mn  0.0000  0.0000  0.0000 x8
Mn  0.0352  0.4026  0.0394 x16
Zn  0.0255  0.2985  0.5595 x16

Results
* total magnetization: 6.314 μB per formula unit
* formation enthalpy at 0 K: 263 meV/atom

Record 6
CuIr2Au: optimized geometry, PBE-GGA.

Lattice parameters (Å, degrees): 8.9652 2.8070 4.8472 90.00 100.11 90.00
Space group Cm (No. 8)
Asymmetric unit:
Cu  0.0000  0.0000  0.0000 x2
Ir  0.0091  0.5000  0.5299 x2
Ir  0.2528  0.0000  0.7072 x2
Au  0.2522  0.5000  0.2084 x2

Results
* total magnetization: 0.000 μB per formula unit
* formation enthalpy at 0 K: 230 meV/atom

Record 7
Pm6Pr2Dy3Sc: optimized geometry, PBE-GGA.

Lattice parameters (Å, degrees): 6.2434 10.8140 11.9289 90.00 100.08 90.00
Space group C2/m (No. 12)
Asymmetric unit:
Pm  0.2465  0.0000  0.2481 x4
Pm  0.2476  0.1645  0.7512 x8
Pr  0.0000  0.3334  0.5000 x4
Dy  0.0000  0.1663  0.0000 x4
Dy  0.0000  0.5000  0.0000 x2
Sc  0.0000  0.0000  0.5000 x2

Results
* total magnetization: 0.000 μB per formula unit
* formation enthalpy at 0 K: 25 meV/atom

Record 8
GeMoPt2: optimized geometry, PBE-GGA.

Lattice parameters (Å, degrees): 3.8052 3.8052 18.6336 90.00 90.00 90.00
Space group I-42d (No. 122)
Asymmetric unit:
Ge  0.0000  0.0000  0.0000 x4
Mo  0.0000  0.0000  0.5000 x4
Pt  0.2486  0.2500  0.1250 x8

Results
* total magnetization: 0.000 μB per formula unit
* formation enthalpy at 0 K: 121 meV/atom

Record 9
KBi3Pd3: optimized geometry, PBE-GGA.

Lattice parameters (Å, degrees): 7.7177 7.7177 24.8443 90.00 90.00 120.00
Space group R-3 (No. 148, hexagonal axes)
Asymmetric unit:
K  0.0000  0.0000  0.1574 x6
Bi  0.0169  0.6236  0.0675 x18
Pd  0.0100  0.7245  0.9611 x18

Results
* total magnetization: 0.000 μB per formula unit
* formation enthalpy at 0 K: -182 meV/atom

Record 10
Dy2YTl3: optimized geometry, PBE-GGA.

Lattice parameters (Å, degrees): 3.6742 3.6742 12.1870 90.00 90.00 90.00
Space group P4/mmm (No. 123)
Asymmetric unit:
Dy  0.0000  0.0000  0.1664 x2
Y  0.0000  0.0000  0.5000 x1
Tl  0.5000  0.5000  0.0000 x1
Tl  0.5000  0.5000  0.3328 x2

Results
* total magnetization: 0.001 μB per formula unit
* formation enthalpy at 0 K: -357 meV/atom

Record 11
Sr3SnN: optimized geometry, PBE-GGA.

Lattice parameters (Å, degrees): 15.5049 11.6129 7.7432 90.00 109.06 90.00
Space group C2/c (No. 15)
Asymmetric unit:
Sr  0.1117  0.0651  0.1410 x8
Sr  0.1370  0.4702  0.9338 x8
Sr  0.1930  0.2336  0.6657 x8
Sn  0.0000  0.2041  0.7500 x4
Sn  0.0000  0.2877  0.2500 x4
N  0.2274  0.4323  0.7212 x8

Results
* uncorrected energy: -3.95 eV/atom
* total magnetization: 0.000 μB per formula unit

Record 12
Ce6GaIr2: optimized geometry, PBE-GGA.

Lattice parameters (Å, degrees): 10.2705 4.7409 8.8742 90.00 94.66 90.00
Space group C2/m (No. 12)
Asymmetric unit:
Ce  0.0641  0.0000  0.3515 x4
Ce  0.1017  0.5000  0.6761 x4
Ce  0.1998  0.5000  0.0837 x4
Ga  0.0000  0.0000  0.0000 x2
Ir  0.2369  0.5000  0.3844 x4

Results
* total magnetization: 1.865 μB per formula unit
* formation enthalpy at 0 K: -493 meV/atom

Record 13
Re2AgIr: optimized geometry, PBE-GGA.

Lattice parameters (Å, degrees): 2.7598 4.7253 9.8682 90.00 90.00 90.00
Space group Imm2 (No. 44)
Asymmetric unit:
Re  0.0000  0.0000  0.0000 x2
Re  0.0000  0.5000  0.2786 x2
Ag  0.0000  0.0000  0.4928 x2
Ir  0.0000  0.5000  0.7226 x2

Results
* total magnetization: 0.000 μB per formula unit
* formation enthalpy at 0 K: 503 meV/atom

Record 14
CsCd2H4: optimized geometry, PBE-GGA.

Lattice parameters (Å, degrees): 5.6296 8.5913 11.3802 90.00 90.00 90.00
Space group Cccm (No. 66)
Asymmetric unit:
Cs  0.0000  0.0000  0.2500 x4
Cd  0.0013  0.3270  0.0000 x8
H  0.1518  0.1148  0.5000 x8
H  0.2500  0.2500  0.1145 x8

Results
* uncorrected energy: -2.15 eV/atom
* total magnetization: 0.000 μB per formula unit

Record 15
Tb2CeGd: optimized geometry, PBE-GGA.

Lattice parameters (Å, degrees): 5.0250 5.0250 5.0038 90.00 90.00 90.00
Space group P4/mmm (No. 123)
Asymmetric unit:
Tb  0.0000  0.5000  0.0000 x2
Ce  0.0000  0.0000  0.5000 x1
Gd  0.5000  0.5000  0.5000 x1

Results
* total magnetization: 6.587 μB per formula unit
* formation enthalpy at 0 K: 70 meV/atom

Record 16
AlTcN2F: optimized geometry, PBE-GGA.

Lattice parameters (Å, degrees): 3.8712 3.8712 3.4649 90.00 90.00 90.00
Space group P4/mmm (No. 123)
Asymmetric unit:
Al  0.0000  0.0000  0.0000 x1
Tc  0.5000  0.5000  0.5000 x1
N  0.0000  0.5000  0.0000 x2
F  0.0000  0.0000  0.5000 x1

Results
* uncorrected energy: -6.61 eV/atom
* total magnetization: 2.939 μB per formula unit

Record 17
Cr2GaFe5Mo2: optimized geometry, PBE-GGA.

Lattice parameters (Å, degrees): 8.2000 8.2000 3.7714 90.00 90.00 90.00
Space group P4/mbm (No. 127)
Asymmetric unit:
Cr  0.1199  0.3801  0.0000 x4
Ga  0.0000  0.0000  0.0000 x2
Fe  0.0000  0.5000  0.5000 x2
Fe  0.0641  0.2046  0.5000 x8
Mo  0.1770  0.6770  0.0000 x4

Results
* total magnetization: 4.817 μB per formula unit
* formation enthalpy at 0 K: 210 meV/atom

Record 18
PrAl4Fe9: optimized geometry, PBE-GGA.

Lattice parameters (Å, degrees): 8.1719 8.1719 11.6880 90.00 90.00 90.00
Space group I4/mcm (No. 140)
Asymmetric unit:
Pr  0.0000  0.0000  0.2500 x4
Al  0.1848  0.3152  0.1242 x16
Fe  0.0000  0.5000  0.0000 x4
Fe  0.0596  0.2028  0.5000 x16
Fe  0.1076  0.3924  0.3261 x16

Results
* total magnetization: 16.199 μB per formula unit
* formation enthalpy at 0 K: -236 meV/atom

Record 19
Cs2ZrP: optimized geometry, PBE-GGA.

Lattice parameters (Å, degrees): 13.9413 13.9413 5.0613 90.00 90.00 90.00
Space group I-42d (No. 122)
Asymmetric unit:
Cs  0.0698  0.2500  0.1250 x8
Zr  0.0000  0.0000  0.5000 x4
P  0.0000  0.0000  0.0000 x4

Results
* total magnetization: 1.036 μB per formula unit
* formation enthalpy at 0 K: 192 meV/atom

Record 20
TiInPd2: optimized geometry, PBE-GGA.

Lattice parameters (Å, degrees): 4.7619 4.7619 2.9785 90.00 90.00 90.00
Space group P4/mmm (No. 123)
Asymmetric unit:
Ti  0.0000  0.0000  0.0000 x1
In  0.5000  0.5000  0.0000 x1
Pd  0.0000  0.5000  0.5000 x2

Results
* total magnetization: 0.001 μB per formula unit
* formation enthalpy at 0 K: -455 meV/atom